Crystalline Cr2HgRu at its relaxed geometry. Source: the Alexandria database, functional GGA-PBE.

## Properties
DFT formation energy	0.5108	eV per atom
V	15.6	Å³/atom
size of the total moment	1.6	μB/f.u.

Lattice parameters (Å, degrees): 4.449 4.449 4.449 60.00 60.00 60.00
Fractional coordinates of all 4 atoms:
Cr 0.000 0.000 0.000
Cr 0.250 0.250 0.250
Hg 0.500 0.500 0.500
Ru 0.750 0.750 0.750

---

Crystalline Cu2PAu at its relaxed geometry. Source: the Alexandria database, functional GGA-PBE.

## Properties
DFT formation energy	0.1325	eV per atom
V	14.7	Å³/atom
size of the total moment	0.0	μB/f.u.

Lattice parameters (Å, degrees): 4.060 4.060 5.504 99.41 99.41 41.03
Fractional coordinates of all 4 atoms:
Cu 0.242 0.242 0.201
Cu 0.758 0.758 0.799
P 0.500 0.500 0.000
Au 0.000 0.000 0.500

---

Crystalline MgTlZn2 at its relaxed geometry. Source: the Alexandria database, functional GGA-PBE.

## Properties
DFT formation energy	0.0950	eV per atom
V	20.8	Å³/atom
size of the total moment	0.0	μB/f.u.

Lattice parameters (Å, degrees): 4.792 4.792 3.676 90.00 90.00 99.70
Fractional coordinates of all 4 atoms:
Mg 0.000 0.000 0.000
Tl 0.500 0.500 0.000
Zn 0.000 0.500 0.500
Zn 0.500 0.000 0.500